Entry 1:
Crystalline Pr6Si2Sn at its relaxed geometry. Source: Alexandria via LeMat-Bulk, functional PBE-GGA.

Cell lengths 8.884, 8.884, 8.884 Å; angles 105.70, 110.03, 112.75 degrees
Element x y z (fractional)
Pr 0.293 0.974 0.681
Pr 0.794 0.762 0.556
Pr 0.206 0.762 0.968
Pr 0.707 0.388 0.681
Pr 0.466 0.278 0.188
Pr 0.534 0.722 0.812
Pr 0.910 0.722 0.188
Pr 0.090 0.278 0.812
Pr 0.206 0.238 0.444
Pr 0.794 0.238 0.032
Pr 0.293 0.612 0.319
Pr 0.707 0.026 0.319
Si 0.379 0.000 0.379
Si 0.500 0.389 0.889
Si 0.621 0.000 0.621
Si 0.500 0.611 0.111
Sn 0.000 0.500 0.500
Sn 0.000 0.000 0.000

Output
For the spin magnetization, the calculation gives 0.000 μB per formula unit. The uncorrected energy is -5.382 eV per atom. Its theoretical density is 6.302 g/cm³. The value obtained for the density of states at the Fermi level is 17.05 states/eV per cell. For the calculated volume, the calculation gives 29.9 A^3/atom. The space group is Immm, No. 71.

=====

Entry 2:
Crystalline LiSi at its relaxed geometry. Source: Alexandria via LeMat-Bulk, functional PBE-GGA.

Cell lengths 4.036, 2.944, 5.148 Å; angles 101.65, 90.00, 90.00 degrees
Element x y z (fractional)
Li 0.750 0.366 0.662
Li 0.250 0.634 0.338
Si 0.750 0.056 0.135
Si 0.250 0.944 0.865

Output
For the spin magnetization, the calculation gives 0.000 μB per formula unit. The uncorrected energy is -3.776 eV per atom. Its theoretical density is 1.941 g/cm³. The value obtained for the density of states at the Fermi level is 0.88 states/eV per cell. For the calculated volume, the calculation gives 15.0 A^3/atom. The space group is P2_1/m, No. 11.

=====

Entry 3:
Crystalline Cr3FeW at its relaxed geometry. Source: Alexandria via LeMat-Bulk, functional PBE-GGA.

Cell lengths 4.136, 4.136, 4.136 Å; angles 90.00, 90.00, 90.00 degrees
Element x y z (fractional)
Cr 0.000 0.000 0.500
Cr 0.000 0.500 0.000
Cr 0.500 0.000 0.000
Fe 0.000 0.000 0.000
W 0.500 0.500 0.500

Output
For the spin magnetization, the calculation gives 0.000 μB per formula unit. As for the distance to the lowest polymorph of the same formula: 0 meV per atom. Its theoretical density is 9.289 g/cm³. Its energy of formation from the pure elements is 6.0 eV/f.u. The value obtained for the density of states at the Fermi level is 5.76 states/eV per cell. For the calculated volume, the calculation gives 14.1 A^3/atom. The space group is Pm-3m, No. 221.